No. 1
LaSn2PdAu: relaxed, PBE-GGA.

a b c (Å): 4.6629 4.6390 11.1150
angles (deg): 90.00 90.83 90.00
Fractional positions:
La  0.2425  0.2500  0.2331
La  0.7575  0.7500  0.7669
Sn  0.2521  0.7500  0.4994
Sn  0.2715  0.2500  0.8832
Sn  0.7285  0.7500  0.1168
Sn  0.7479  0.2500  0.5006
Pd  0.2230  0.7500  0.0000
Pd  0.7770  0.2500  0.0000
Au  0.2509  0.2500  0.6437
Au  0.7491  0.7500  0.3563

Properties
The total moment comes out at 0.0 Bohr magnetons per cell. As for the symmetry: No. 11. The calculation puts the energy above the most stable polymorph in this dataset at 15 kJ/mol of formula units.

***

No. 2
Dy3Y2Tm2Cu2Te2: relaxed, PBE-GGA.

a b c (Å): 9.3109 9.3109 9.3109
angles (deg): 155.49 67.46 118.26
Fractional positions:
Dy  0.0000  0.0000  0.0000
Dy  0.2852  0.4143  0.8709
Dy  0.5434  0.4143  0.1291
Y  0.6171  0.2608  0.3563
Y  0.9046  0.2608  0.6437
Tm  0.3038  0.6190  0.6848
Tm  0.9342  0.6190  0.3152
Cu  0.1656  0.9283  0.2373
Cu  0.6910  0.9283  0.7627
Te  0.2615  0.7615  0.5000
Te  0.6627  0.6627  0.0000

Properties
The total moment comes out at 0.1 Bohr magnetons per cell. The calculation puts the raw total energy at -5.08 eV/atom. As for the symmetry: No. 44.

***

No. 3
RbYPdS3: relaxed, PBE-GGA.

a b c (Å): 8.8756 4.0687 9.5858
angles (deg): 90.00 108.43 90.00
Fractional positions:
Rb  0.2026  0.2500  0.2312
Rb  0.7974  0.7500  0.7688
Y  0.3311  0.7500  0.8587
Y  0.6689  0.2500  0.1413
Pd  0.0905  0.2500  0.5859
Pd  0.9095  0.7500  0.4141
S  0.1202  0.2500  0.8536
S  0.2017  0.7500  0.5458
S  0.4628  0.7500  0.1547
S  0.5372  0.2500  0.8453
S  0.7983  0.2500  0.4542
S  0.8798  0.7500  0.1464

Properties
The total moment comes out at 0.1 Bohr magnetons per cell. As for the symmetry: No. 11. The calculation puts the energy above the most stable polymorph in this dataset at 0 kJ/mol of formula units.

***

No. 4
HoSb2O4: relaxed, PBE-GGA.

a b c (Å): 6.8909 6.8909 6.8909
angles (deg): 60.00 60.00 60.00
Fractional positions:
Ho  0.1250  0.1250  0.1250
Ho  0.8750  0.8750  0.8750
Sb  0.0000  0.5000  0.5000
Sb  0.5000  0.0000  0.5000
Sb  0.5000  0.5000  0.0000
Sb  0.5000  0.5000  0.5000
O  0.2545  0.2545  0.2545
O  0.2545  0.2545  0.7366
O  0.2545  0.7366  0.2545
O  0.2634  0.7455  0.7455
O  0.7366  0.2545  0.2545
O  0.7455  0.2634  0.7455
O  0.7455  0.7455  0.2634
O  0.7455  0.7455  0.7455

Properties
The total moment comes out at 0.0 Bohr magnetons per cell. The calculation puts the raw total energy at -6.21 eV/atom. As for the symmetry: No. 227.

***

No. 5
NaTbCo: relaxed, PBE-GGA.

a b c (Å): 4.6240 4.6240 4.6240
angles (deg): 60.00 60.00 60.00
Fractional positions:
Na  0.0000  0.0000  0.0000
Tb  0.5000  0.5000  0.5000
Co  0.2500  0.2500  0.2500

Properties
The total moment comes out at 0.3 Bohr magnetons per cell. As for the symmetry: No. 216. The calculation puts the energy above the most stable polymorph in this dataset at 0 kJ/mol of formula units.

***

No. 6
LuGaFeCu: relaxed, PBE-GGA.

a b c (Å): 4.5131 4.5131 4.5131
angles (deg): 60.00 60.00 60.00
Fractional positions:
Lu  0.0000  0.0000  0.0000
Ga  0.2500  0.2500  0.2500
Fe  0.7500  0.7500  0.7500
Cu  0.5000  0.5000  0.5000

Properties
The total moment comes out at 2.5 Bohr magnetons per cell. As for the symmetry: No. 216. The calculation puts the energy above the most stable polymorph in this dataset at 65 kJ/mol of formula units.

***

No. 7
YEr2In3Pd2Au: relaxed, PBE-GGA.

a b c (Å): 3.7861 7.8003 7.8003
angles (deg): 120.03 90.00 90.00
Fractional positions:
Y  0.0000  0.0000  0.0000
Er  0.0000  0.4039  0.8083
Er  0.0000  0.8083  0.4039
In  0.5000  0.1327  0.4041
In  0.5000  0.4041  0.1327
In  0.5000  0.6761  0.6761
Pd  0.5000  0.0714  0.7345
Pd  0.5000  0.7345  0.0714
Au  0.0000  0.4057  0.4057

Properties
The total moment comes out at 0.0 Bohr magnetons per cell. The calculation puts the raw total energy at -4.94 eV/atom. As for the symmetry: No. 38.

***

No. 8
Cu2Ag3: relaxed, PBE-GGA.

a b c (Å): 7.4932 7.4932 4.8047
angles (deg): 95.76 95.76 142.49
Fractional positions:
Cu  0.0000  0.0000  0.0000
Cu  0.4108  0.5892  0.0000
Cu  0.5949  0.4051  0.0000
Cu  0.9051  0.0949  0.5000
Ag  0.0953  0.9047  0.5000
Ag  0.1978  0.8022  0.0000
Ag  0.3074  0.6926  0.5000
Ag  0.5001  0.4999  0.5000
Ag  0.7023  0.2977  0.5000
Ag  0.8122  0.1878  0.0000

Properties
The formation energy is 94 meV/atom. As for the symmetry: No. 5. The calculation puts the energy above the most stable polymorph in this dataset at 30 kJ/mol of formula units.

***

No. 9
TlSiNi: relaxed, PBE-GGA.

a b c (Å): 3.8845 3.8845 3.8845
angles (deg): 73.94 73.94 73.94
Fractional positions:
Tl  0.0000  0.0000  0.0000
Si  0.5855  0.5855  0.5855
Ni  0.3208  0.3208  0.3208

Properties
The total moment comes out at 0.0 Bohr magnetons per cell. As for the symmetry: No. 160. The calculation puts the energy above the most stable polymorph in this dataset at 52 kJ/mol of formula units.

***

No. 10
AcTaAl: relaxed, PBE-GGA.

a b c (Å): 4.8837 4.8837 4.8837
angles (deg): 60.00 60.00 60.00
Fractional positions:
Ac  0.0000  0.0000  0.0000
Ta  0.5000  0.5000  0.5000
Al  0.2500  0.2500  0.2500

Properties
The total moment comes out at 0.0 Bohr magnetons per cell. As for the symmetry: No. 216. The calculation puts the energy above the most stable polymorph in this dataset at 0 kJ/mol of formula units.

***

No. 11
PmAl3Ni2: relaxed, PBE-GGA.

a b c (Å): 6.3425 6.3425 5.1193
angles (deg): 90.00 90.00 76.03
Fractional positions:
Pm  0.1567  0.8433  0.7500
Pm  0.8433  0.1567  0.2500
Al  0.0267  0.5854  0.2500
Al  0.4146  0.9733  0.2500
Al  0.4434  0.5566  0.2500
Al  0.5566  0.4434  0.7500
Al  0.5854  0.0267  0.7500
Al  0.9733  0.4146  0.7500
Ni  0.2974  0.2974  0.0000
Ni  0.2974  0.2974  0.5000
Ni  0.7026  0.7026  0.0000
Ni  0.7026  0.7026  0.5000

Properties
The total moment comes out at 0.0 Bohr magnetons per cell. The calculation puts the raw total energy at -5.14 eV/atom. As for the symmetry: No. 63.

***

No. 12
LaPr3In4: relaxed, PBE-GGA.

a b c (Å): 6.2707 6.0419 6.2791
angles (deg): 90.00 99.71 90.00
Fractional positions:
La  0.0000  0.0000  0.0000
Pr  0.3340  0.5000  0.3361
Pr  0.3738  0.0000  0.6326
Pr  0.7058  0.5000  0.9629
In  0.1837  0.5000  0.8121
In  0.5230  0.0000  0.1559
In  0.8527  0.2504  0.4832
In  0.8527  0.7496  0.4832

Properties
The total moment comes out at 0.0 Bohr magnetons per cell. The calculation puts the raw total energy at -4.24 eV/atom. As for the symmetry: No. 6.

***

No. 13
RbNaMoPd: relaxed, PBE-GGA.

a b c (Å): 5.1825 5.1825 5.1825
angles (deg): 60.00 60.00 60.00
Fractional positions:
Rb  0.0000  0.0000  0.0000
Na  0.7500  0.7500  0.7500
Mo  0.2500  0.2500  0.2500
Pd  0.5000  0.5000  0.5000

Properties
The total moment comes out at 4.2 Bohr magnetons per cell. As for the symmetry: No. 216. The calculation puts the energy above the most stable polymorph in this dataset at 6 kJ/mol of formula units.

***

No. 14
DyCoSi2Ni: relaxed, PBE-GGA.

a b c (Å): 5.5618 5.5618 5.5618
angles (deg): 138.83 138.83 59.63
Fractional positions:
Dy  0.0000  0.0000  0.0000
Co  0.2500  0.7500  0.5000
Si  0.3739  0.3739  0.0000
Si  0.6261  0.6261  0.0000
Ni  0.7500  0.2500  0.5000

Properties
The total moment comes out at 0.9 Bohr magnetons per cell. The calculation puts the raw total energy at -6.45 eV/atom. As for the symmetry: No. 119.

***

No. 15
SmPuGe: relaxed, PBE-GGA.

a b c (Å): 4.9091 4.9091 4.9091
angles (deg): 60.00 60.00 60.00
Fractional positions:
Sm  0.0000  0.0000  0.0000
Pu  0.7500  0.7500  0.7500
Ge  0.5000  0.5000  0.5000

Properties
The total moment comes out at 6.8 Bohr magnetons per cell. As for the symmetry: No. 216. The calculation puts the energy above the most stable polymorph in this dataset at 0 kJ/mol of formula units.

***

No. 16
YMgCoSi: relaxed, PBE-GGA.

a b c (Å): 4.5700 4.5700 4.5700
angles (deg): 60.00 60.00 60.00
Fractional positions:
Y  0.0000  0.0000  0.0000
Mg  0.7500  0.7500  0.7500
Co  0.5000  0.5000  0.5000
Si  0.2500  0.2500  0.2500

Properties
The total moment comes out at 0.0 Bohr magnetons per cell. As for the symmetry: No. 216. The calculation puts the energy above the most stable polymorph in this dataset at 29 kJ/mol of formula units.

***

No. 17
SrHgSeO: relaxed, PBE-GGA.

a b c (Å): 7.6231 7.7096 13.1017
angles (deg): 90.00 90.00 90.00
Fractional positions:
Sr  0.1288  0.0650  0.2157
Sr  0.1288  0.4350  0.7157
Sr  0.3712  0.5650  0.2157
Sr  0.3712  0.9350  0.7157
Sr  0.6288  0.0650  0.2843
Sr  0.6288  0.4350  0.7843
Sr  0.8712  0.5650  0.2843
Sr  0.8712  0.9350  0.7843
Hg  0.0260  0.7242  0.0474
Hg  0.0260  0.7758  0.5474
Hg  0.4740  0.2242  0.0474
Hg  0.4740  0.2758  0.5474
Hg  0.5260  0.7242  0.4526
Hg  0.5260  0.7758  0.9526
Hg  0.9740  0.2242  0.4526
Hg  0.9740  0.2758  0.9526
Se  0.2333  0.5424  0.4620
Se  0.2333  0.9576  0.9620
Se  0.2667  0.0424  0.4620
Se  0.2667  0.4576  0.9620
Se  0.7333  0.5424  0.0380
Se  0.7333  0.9576  0.5380
Se  0.7667  0.0424  0.0380
Se  0.7667  0.4576  0.5380
O  0.1058  0.7407  0.2160
O  0.1058  0.7593  0.7160
O  0.3942  0.2407  0.2160
O  0.3942  0.2593  0.7160
O  0.6058  0.7407  0.2840
O  0.6058  0.7593  0.7840
O  0.8942  0.2407  0.2840
O  0.8942  0.2593  0.7840

Properties
As for the symmetry: No. 61. The calculation puts the energy above the most stable polymorph in this dataset at 27 kJ/mol of formula units.

***

No. 18
BaTbAgSe2S: relaxed, PBE-GGA.

a b c (Å): 7.4033 7.4033 10.5628
angles (deg): 90.00 90.00 146.63
Fractional positions:
Ba  0.2408  0.7592  0.7500
Ba  0.7592  0.2408  0.2500
Tb  0.5000  0.5000  0.0000
Tb  0.5000  0.5000  0.5000
Ag  0.0295  0.9705  0.2500
Ag  0.9705  0.0295  0.7500
Se  0.1387  0.8613  0.0493
Se  0.1387  0.8613  0.4507
Se  0.8613  0.1387  0.5493
Se  0.8613  0.1387  0.9507
S  0.4270  0.5730  0.2500
S  0.5730  0.4270  0.7500

Properties
The total moment comes out at 0.0 Bohr magnetons per cell. The calculation puts the raw total energy at -5.00 eV/atom. As for the symmetry: No. 63.

***

No. 19
YCuBiPt: relaxed, PBE-GGA.

a b c (Å): 4.8946 4.8946 4.8946
angles (deg): 60.00 60.00 60.00
Fractional positions:
Y  0.0000  0.0000  0.0000
Cu  0.7500  0.7500  0.7500
Bi  0.5000  0.5000  0.5000
Pt  0.2500  0.2500  0.2500

Properties
The total moment comes out at 0.0 Bohr magnetons per cell. As for the symmetry: No. 216. The calculation puts the energy above the most stable polymorph in this dataset at 0 kJ/mol of formula units.

***

No. 20
HfPaAl: relaxed, PBE-GGA.

a b c (Å): 4.7317 4.7317 4.7317
angles (deg): 60.00 60.00 60.00
Fractional positions:
Hf  0.0000  0.0000  0.0000
Pa  0.5000  0.5000  0.5000
Al  0.2500  0.2500  0.2500

Properties
The total moment comes out at 0.3 Bohr magnetons per cell. As for the symmetry: No. 216. The calculation puts the energy above the most stable polymorph in this dataset at 0 kJ/mol of formula units.

***

No. 21
Nd3GdSi4: relaxed, PBE-GGA.

a b c (Å): 5.8869 3.9254 8.1955
angles (deg): 90.00 90.26 90.00
Fractional positions:
Nd  0.0000  0.0000  0.0000
Nd  0.2285  0.5000  0.3595
Nd  0.7280  0.0000  0.5014
Gd  0.4996  0.5000  0.8599
Si  0.2402  0.0000  0.6476
Si  0.4912  0.0000  0.1402
Si  0.7358  0.5000  0.2136
Si  0.9923  0.5000  0.7174

Properties
The total moment comes out at 0.0 Bohr magnetons per cell. The calculation puts the raw total energy at -5.86 eV/atom. As for the symmetry: No. 6.

***

No. 22
NaSmW: relaxed, PBE-GGA.

a b c (Å): 4.9461 4.9461 4.9461
angles (deg): 60.00 60.00 60.00
Fractional positions:
Na  0.0000  0.0000  0.0000
Sm  0.2500  0.2500  0.2500
W  0.5000  0.5000  0.5000

Properties
The total moment comes out at 3.2 Bohr magnetons per cell. As for the symmetry: No. 216. The calculation puts the energy above the most stable polymorph in this dataset at 57 kJ/mol of formula units.

***

No. 23
Ga2Ag2Se3S: relaxed, PBE-GGA.

a b c (Å): 6.9177 6.9177 5.9790
angles (deg): 115.01 115.01 51.54
Fractional positions:
Ga  0.1222  0.1222  0.3795
Ga  0.8778  0.8778  0.6205
Ag  0.3628  0.3970  0.1387
Ag  0.6030  0.6372  0.8613
Se  0.4957  0.0044  0.2777
Se  0.7766  0.2234  0.0000
Se  0.9956  0.5043  0.7223
S  0.2084  0.7916  0.5000

Properties
The calculation puts the raw total energy at -3.76 eV/atom. As for the symmetry: No. 5.

***

No. 24
InReAg3Te4: relaxed, PBE-GGA.

a b c (Å): 6.6364 6.6364 6.6364
angles (deg): 90.00 90.00 90.00
Fractional positions:
In  0.0000  0.0000  0.0000
Re  0.5000  0.5000  0.5000
Ag  0.0000  0.5000  0.5000
Ag  0.5000  0.0000  0.5000
Ag  0.5000  0.5000  0.0000
Te  0.2685  0.2685  0.2685
Te  0.2685  0.7315  0.7315
Te  0.7315  0.2685  0.7315
Te  0.7315  0.7315  0.2685

Properties
The total moment comes out at 3.0 Bohr magnetons per cell. The calculation puts the raw total energy at -3.83 eV/atom. As for the symmetry: No. 215.